SmDy4Sc | PBE | relaxed

The structure in POSCAR format:
```
SmDy4Sc
1.0
3.4377 0.0000 0.0000
1.7188 5.6357 -0.1519
1.7188 0.4316 9.8422
Sm Dy Sc
1 4 1
Cartesian
3.4377 3.0337 4.8451
3.4377 3.0999 1.3963
3.4377 2.9674 8.2940
1.7188 0.4602 6.5101
5.1565 5.6071 3.1801
0.0000 0.0000 0.0000
```

## Properties
Total magnetization ... 0.00 μB/cell
Electronic total energy ... -28.26 eV per cell
Symmetry ... C2/m
Energy of formation ... 0.20 eV/atom

Sm8Zn2Ga | PBE | relaxed

The structure in POSCAR format:
```
Sm8Zn2Ga
1.0
5.1772 0.0000 0.0000
0.0000 7.1070 0.0441
-2.5886 -2.9904 8.5682
Sm Zn Ga
8 2 1
Cartesian
0.0000 1.3809 7.0273
2.5886 5.9445 2.9447
2.5886 3.0532 5.2173
2.5886 -1.2496 8.1586
0.0000 1.0634 3.3951
0.0000 -1.8279 5.6677
2.5886 2.7357 1.5851
0.0000 5.3662 0.4538
2.5886 0.1396 5.5156
0.0000 3.9770 3.0968
2.5886 0.0000 0.0000
```

## Properties
Total magnetization ... 0.00 μB/cell
Electronic total energy ... -45.30 eV per cell
Symmetry ... C2/m
Energy of formation ... -0.18 eV/atom

SrSbC2O | PBE | relaxed

The structure in POSCAR format:
```
SrSbC2O
1.0
4.2815 0.0000 0.0000
0.0000 4.2850 0.0000
0.0000 0.0000 4.2815
Sb C O Sr
1 2 1 1
Cartesian
0.0000 0.0000 0.0000
0.0000 0.0000 2.1407
2.1407 0.0000 0.0000
0.0000 2.1425 0.0000
2.1407 2.1425 2.1407
```

## Properties
Total magnetization ... 1.82 μB/cell
Electronic total energy ... -25.69 eV per cell
Symmetry ... P4/mmm
Formation energy without anion corrections ... 0.704 eV per atom

MgZnSe2 | PBE | relaxed

The structure in POSCAR format:
```
MgZnSe2
1.0
2.3240 2.2454 -3.2842
-4.5018 0.2108 -0.9584
-0.7815 9.1076 5.6739
Mg Zn Se
2 2 4
Cartesian
-3.2872 6.4524 2.0317
0.3280 5.1114 -0.6004
-2.8812 1.7203 -0.9163
-0.0780 9.8435 2.3477
-3.4684 8.5635 3.3470
0.5092 3.0002 -1.9156
-0.9352 5.1678 1.7763
-2.0240 6.3959 -0.3450
```

## Properties
Total magnetization ... 0.00 μB/cell
Electronic total energy ... -23.37 eV per cell
Symmetry ... Cmme
Formation energy without anion corrections ... -0.462 eV per atom

Pr3Tm8 | PBE | relaxed

The structure in POSCAR format:
```
Pr3Tm8
1.0
-1.3559 -0.8934 -3.1656
-1.9206 -2.9759 -0.3368
-27.4046 14.9344 5.5235
Pr Tm
3 8
Cartesian
-5.9564 1.7095 0.0695
-24.7247 9.3556 1.9517
0.0000 0.0000 0.0000
-13.0779 6.1006 1.8804
-26.0675 12.1467 3.7383
-4.6135 -1.0817 -1.7172
-17.6031 4.9644 0.1407
-11.8296 3.3677 0.1178
-20.0961 10.4279 3.6650
-10.5850 0.6371 -1.6439
-18.8515 7.6973 1.9034
```

## Properties
Total magnetization ... 0.00 μB/cell
Relative energy among the computed polymorphs ... 0.000 eV/atom
Electronic total energy ... -49.80 eV per cell
Symmetry ... R-3m
Energy of formation ... 0.03 eV/atom

TlSnHg3 | PBE | relaxed

The structure in POSCAR format:
```
TlSnHg3
1.0
-2.3873 -2.5374 3.8852
-0.8781 -10.4785 -7.3831
7.7772 -2.7523 2.9813
Tl Sn Hg
4 4 12
Cartesian
0.0112 -11.6118 -5.8244
0.1773 -7.9671 0.1626
4.3345 -7.8011 -0.6792
4.5005 -4.1565 5.3079
4.7978 -8.3849 2.7290
1.1457 -4.1866 3.2267
3.3661 -11.5816 -3.7433
-0.2861 -7.3834 -3.2455
0.8906 -12.3446 -2.2580
3.6212 -3.4237 1.7415
5.0072 -10.9999 1.1497
-0.4954 -4.7683 -1.6663
2.5264 -6.6917 2.4390
5.7823 -11.5474 -2.2363
-1.2705 -4.2208 1.7197
2.1381 -5.2426 -0.3579
2.3737 -10.5256 -0.1587
6.1802 -4.7870 2.4235
1.9854 -9.0765 -2.9556
-1.6684 -10.9813 -2.9401
```

## Properties
Total magnetization ... 0.00 μB/cell
Relative energy among the computed polymorphs ... 0.000 eV/atom
Electronic total energy ... -28.23 eV per cell
Symmetry ... Pnma
Energy of formation ... 0.04 eV/atom

NdSeN | PBE | relaxed

The structure in POSCAR format:
```
NdSeN
1.0
4.1673 0.0000 0.0000
-2.0837 3.7054 0.1716
0.0000 -0.2309 10.0502
Nd Se N
2 2 2
Cartesian
2.0837 2.4266 8.4919
0.0000 1.0479 1.7299
2.0837 2.1457 3.2744
0.0000 1.3288 6.9473
0.0000 3.1635 0.4700
2.0837 0.3110 9.7518
```

## Properties
Total magnetization ... 0.00 μB/cell
Relative energy among the computed polymorphs ... 0.171 eV/atom
Electronic total energy ... -39.30 eV per cell
Symmetry ... C2/m
Formation energy without anion corrections ... -1.024 eV per atom

Ag5Br2F3 | PBE | relaxed

The structure in POSCAR format:
```
Ag5Br2F3
1.0
3.8979 0.0000 0.8649
1.6226 6.1735 1.9032
0.2962 -0.7943 7.8804
Ag Br F
5 2 3
Cartesian
0.0000 0.0000 0.0000
0.9212 1.1214 5.0638
4.8954 4.2578 5.5847
3.4550 2.3146 2.8607
2.3617 3.0646 7.7878
1.4896 0.2149 2.5024
4.3271 5.1643 8.1461
2.9083 2.6896 5.3242
1.5071 3.7279 2.4234
4.3095 1.6513 8.2251
```

## Properties
Total magnetization ... 0.00 μB/cell
Electronic total energy ... -30.39 eV per cell
Symmetry ... C2/m
Formation energy without anion corrections ... -0.718 eV per atom